No. 1
ZrBeIr2 | PBE | relaxed

Its density of states at the Fermi level is 0.16 states/eV per atom.

Structure (CIF):
```
data_ZrBeIr2
_chemical_formula_sum 'Zr1 Be1 Ir2'
_cell_length_a 4.156
_cell_length_b 4.156
_cell_length_c 3.465
_cell_angle_alpha 90.00
_cell_angle_beta 90.00
_cell_angle_gamma 90.00
_symmetry_space_group_name_H-M 'P 4/m m m'
_symmetry_Int_Tables_number 123
_symmetry_space_group_name_Hall '-P 4 2'
loop_
_atom_site_label
_atom_site_fract_x
_atom_site_fract_y
_atom_site_fract_z
_atom_site_occupancy
Zr1 0.000 0.000 0.000 1
Be1 0.500 0.500 0.000 1
Ir1 0.000 0.500 0.500 1
```

=====

No. 2
ZrBe2Ir | PBE | relaxed

Its density of states at the Fermi level is 0.54 states/eV per atom. The energy above the most stable polymorph in this dataset is 1.6 kJ/mol of atoms.

Structure (CIF):
```
data_ZrBe2Ir
_chemical_formula_sum 'Zr2 Be4 Ir2'
_cell_length_a 6.574
_cell_length_b 3.803
_cell_length_c 4.942
_cell_angle_alpha 90.00
_cell_angle_beta 116.23
_cell_angle_gamma 90.00
_symmetry_space_group_name_H-M 'C 1 2/m 1'
_symmetry_Int_Tables_number 12
loop_
_symmetry_equiv_pos_as_xyz
'x,y,z'
'-x,-y,-z'
'-x,y,-z'
'x,-y,z'
'x+1/2,y+1/2,z'
'-x+1/2,-y+1/2,-z'
'-x+1/2,y+1/2,-z'
'x+1/2,-y+1/2,z'
loop_
_atom_site_label
_atom_site_fract_x
_atom_site_fract_y
_atom_site_fract_z
_atom_site_occupancy
Zr1 0.000 0.000 0.000 1
Be1 0.208 0.000 0.625 1
Ir1 0.000 0.500 0.500 1
```

=====

No. 3
Zr3Be4Ir2 | PBE | relaxed

Its density of states at the Fermi level is 0.72 states/eV per atom.

Structure (CIF):
```
data_Zr3Be4Ir2
_chemical_formula_sum 'Zr6 Be8 Ir4'
_cell_length_a 9.798
_cell_length_b 3.855
_cell_length_c 7.544
_cell_angle_alpha 90.00
_cell_angle_beta 111.45
_cell_angle_gamma 90.00
_symmetry_space_group_name_H-M 'C 1 2/m 1'
_symmetry_Int_Tables_number 12
loop_
_symmetry_equiv_pos_as_xyz
'x,y,z'
'-x,-y,-z'
'-x,y,-z'
'x,-y,z'
'x+1/2,y+1/2,z'
'-x+1/2,-y+1/2,-z'
'-x+1/2,y+1/2,-z'
'x+1/2,-y+1/2,z'
loop_
_atom_site_label
_atom_site_fract_x
_atom_site_fract_y
_atom_site_fract_z
_atom_site_occupancy
Zr1 0.000 0.000 0.000 1
Zr2 0.130 0.500 0.703 1
Be1 0.087 0.000 0.419 1
Be2 0.226 0.500 0.067 1
Ir1 0.173 0.500 0.341 1
```

=====

No. 4
ZrBeIr2 | PBE | relaxed

Its density of states at the Fermi level is 1.01 states/eV per atom.

Structure (CIF):
```
data_ZrBeIr2
_chemical_formula_sum 'Zr4 Be4 Ir8'
_cell_length_a 4.024
_cell_length_b 4.024
_cell_length_c 16.621
_cell_angle_alpha 90.00
_cell_angle_beta 90.00
_cell_angle_gamma 90.00
_symmetry_space_group_name_H-M 'I -4 2 d'
_symmetry_Int_Tables_number 122
_symmetry_space_group_name_Hall 'I -4 2bw'
loop_
_atom_site_label
_atom_site_fract_x
_atom_site_fract_y
_atom_site_fract_z
_atom_site_occupancy
Zr1 0.000 0.000 0.000 1
Be1 0.000 0.000 0.500 1
Ir1 0.191 0.250 0.625 1
```

=====

No. 5
ZrBe2Ir | PBE | relaxed

Its density of states at the Fermi level is 0.33 states/eV per atom. The energy above the most stable polymorph in this dataset is 2.0 kJ/mol of atoms.

Structure (CIF):
```
data_ZrBe2Ir
_chemical_formula_sum 'Zr4 Be8 Ir4'
_cell_length_a 5.911
_cell_length_b 5.911
_cell_length_c 5.911
_cell_angle_alpha 90.00
_cell_angle_beta 90.00
_cell_angle_gamma 90.00
_symmetry_space_group_name_H-M 'F m -3 m'
_symmetry_Int_Tables_number 225
_symmetry_space_group_name_Hall '-F 4 2 3'
loop_
_atom_site_label
_atom_site_fract_x
_atom_site_fract_y
_atom_site_fract_z
_atom_site_occupancy
Zr1 0.000 0.000 0.000 1
Be1 0.250 0.250 0.250 1
Ir1 0.000 0.000 0.500 1
```

=====

No. 6
Zr3BeIr | PBE | relaxed

Its density of states at the Fermi level is 1.38 states/eV per atom. The energy above the most stable polymorph in this dataset is 0.0 kJ/mol of atoms.

Structure (CIF):
```
data_Zr3BeIr
_chemical_formula_sum 'Zr3 Be1 Ir1'
_cell_length_a 4.602
_cell_length_b 4.602
_cell_length_c 4.602
_cell_angle_alpha 90.00
_cell_angle_beta 90.00
_cell_angle_gamma 90.00
_symmetry_space_group_name_H-M 'P m -3 m'
_symmetry_Int_Tables_number 221
_symmetry_space_group_name_Hall '-P 4 2 3'
loop_
_atom_site_label
_atom_site_fract_x
_atom_site_fract_y
_atom_site_fract_z
_atom_site_occupancy
Zr1 0.000 0.000 0.500 1
Be1 0.000 0.000 0.000 1
Ir1 0.500 0.500 0.500 1
```

=====

Number 1: formation energy from the elements -598 meV per atom. Number 2: formation energy from the elements -500 meV per atom. Number 3: formation energy from the elements -488 meV per atom. Number 4: formation energy from the elements -80 meV per atom. Number 5: formation energy from the elements -496 meV per atom. Number 6: formation energy from the elements 302 meV per atom.